--- A ---
Compound: TlOs2Rh
Source: Alexandria
Functional: PBE-GGA
Structure: relaxed

Properties
* crystal system: orthorhombic
* total moment: 0.00 μB/atom
* density of states at the Fermi level: 10.74 states/eV per cell
* calculated density: 16.84 g/cm³

Lattice parameters (Å, degrees): 2.7889 4.8422 10.0445 90.00 90.00 90.00
Space group Cmmm (No. 65)
Symmetry-distinct sites (fractional):
1 Tl 0.0000 0.0000 0.0000 x2
2 Os 0.0000 0.5000 0.2747 x4
3 Rh 0.0000 0.0000 0.5000 x2

=====

--- B ---
Compound: TlOs2Rh
Source: Alexandria
Functional: PBE-GGA
Structure: relaxed

Properties
* crystal system: tetragonal
* total moment: 0.00 μB/atom
* density of states at the Fermi level: 6.63 states/eV per cell
* calculated density: 17.55 g/cm³

Lattice parameters (Å, degrees): 4.6889 4.6889 2.9606 90.00 90.00 90.00
Space group P4/mmm (No. 123)
Symmetry-distinct sites (fractional):
1 Tl 0.0000 0.0000 0.0000 x1
2 Os 0.0000 0.5000 0.5000 x2
3 Rh 0.5000 0.5000 0.0000 x1

=====

A ends up most stable, edging out the next structure by 0.065 eV/atom.

=====

--- A ---
Compound: TlOs2Rh
Source: Alexandria
Functional: PBE-GGA
Structure: relaxed

Properties
* crystal system: monoclinic
* total moment: 0.00 μB/atom
* density of states at the Fermi level: 8.19 states/eV per cell
* calculated density: 17.62 g/cm³

Lattice parameters (Å, degrees): 9.3259 2.8511 4.9474 90.00 99.86 90.00
Space group C2/m (No. 12)
Symmetry-distinct sites (fractional):
1 Tl 0.0000 0.0000 0.0000 x2
2 Os 0.2392 0.0000 0.7175 x4
3 Rh 0.0000 0.5000 0.5000 x2

=====

--- B ---
Compound: TlOs2Rh
Source: Alexandria
Functional: PBE-GGA
Structure: relaxed

Properties
* crystal system: tetragonal
* total moment: 0.00 μB/atom
* density of states at the Fermi level: 7.54 states/eV per cell
* calculated density: 17.83 g/cm³

Lattice parameters (Å, degrees): 3.9475 3.9475 8.2209 90.00 90.00 90.00
Space group I4/mmm (No. 139)
Symmetry-distinct sites (fractional):
1 Tl 0.0000 0.0000 0.0000 x2
2 Os 0.0000 0.5000 0.2500 x4
3 Rh 0.0000 0.0000 0.5000 x2

=====

--- C ---
Compound: TlOs2Rh
Source: Alexandria
Functional: PBE-GGA
Structure: relaxed

Properties
* crystal system: monoclinic
* total moment: 0.00 μB/atom
* density of states at the Fermi level: 5.32 states/eV per cell
* calculated density: 17.18 g/cm³

Lattice parameters (Å, degrees): 2.8680 4.9178 4.7168 90.00 91.95 90.00
Space group P2/m (No. 10)
Symmetry-distinct sites (fractional):
1 Tl 0.0000 0.0000 0.0000 x1
2 Os 0.2158 0.5000 0.2720 x2
3 Rh 0.5000 0.0000 0.5000 x1

=====

--- D ---
Compound: TlOs2Rh
Source: Alexandria
Functional: PBE-GGA
Structure: relaxed

Properties
* crystal system: tetragonal
* total moment: 0.00 μB/atom
* density of states at the Fermi level: 29.65 states/eV per cell
* calculated density: 11.96 g/cm³

Lattice parameters (Å, degrees): 6.3215 6.3215 9.5561 90.00 90.00 90.00
Space group I-42d (No. 122)
Symmetry-distinct sites (fractional):
1 Tl 0.0000 0.0000 0.0000 x4
2 Os 0.2035 0.2500 0.6250 x8
3 Rh 0.0000 0.0000 0.5000 x4

=====

A ends up most stable, edging out the next structure by 0.142 eV/atom.

=====

--- A ---
Compound: TlOs2Rh
Source: Alexandria
Functional: PBE-GGA
Structure: relaxed

Properties
* crystal system: trigonal
* total moment: 0.00 μB/atom
* density of states at the Fermi level: 17.11 states/eV per cell
* calculated density: 17.51 g/cm³

Lattice parameters (Å, degrees): 2.8636 2.8636 27.5598 90.00 90.00 120.00
Space group R3m (No. 160, hexagonal axes)
Symmetry-distinct sites (fractional):
1 Tl 0.0000 0.0000 0.0000 x3
2 Os 0.0000 0.0000 0.5007 x3
3 Os 0.0000 0.0000 0.7594 x3
4 Rh 0.0000 0.0000 0.2462 x3

=====

--- B ---
Compound: TlOs2Rh
Source: Alexandria
Functional: PBE-GGA
Structure: relaxed

Properties
* crystal system: tetragonal
* total moment: 0.00 μB/atom
* density of states at the Fermi level: 5.44 states/eV per cell
* calculated density: 17.60 g/cm³

Lattice parameters (Å, degrees): 2.8560 2.8560 7.9533 90.00 90.00 90.00
Space group P4/mmm (No. 123)
Symmetry-distinct sites (fractional):
1 Tl 0.0000 0.0000 0.0000 x1
2 Os 0.5000 0.5000 0.2747 x2
3 Rh 0.0000 0.0000 0.5000 x1

=====

A ends up most stable, edging out the next structure by 0.240 eV/atom.

=====

--- A ---
Compound: TlOs2Rh
Source: Alexandria
Functional: PBE-GGA
Structure: relaxed

Properties
* crystal system: tetragonal
* total moment: 0.00 μB/atom
* density of states at the Fermi level: 4.54 states/eV per cell
* calculated density: 17.62 g/cm³

Lattice parameters (Å, degrees): 3.8183 3.8183 4.4462 90.00 90.00 90.00
Space group P4/mmm (No. 123)
Symmetry-distinct sites (fractional):
1 Tl 0.0000 0.0000 0.0000 x1
2 Os 0.0000 0.5000 0.5000 x2
3 Rh 0.5000 0.5000 0.0000 x1

=====

--- B ---
Compound: TlOs2Rh
Source: Alexandria
Functional: PBE-GGA
Structure: relaxed

Properties
* crystal system: tetragonal
* total moment: 0.15 μB/atom
* density of states at the Fermi level: 9.64 states/eV per cell
* calculated density: 17.86 g/cm³

Lattice parameters (Å, degrees): 4.0563 4.0563 7.7740 90.00 90.00 90.00
Space group I-4m2 (No. 119)
Symmetry-distinct sites (fractional):
1 Tl 0.0000 0.0000 0.0000 x2
2 Os 0.0000 0.0000 0.5000 x2
3 Os 0.0000 0.5000 0.7500 x2
4 Rh 0.0000 0.5000 0.2500 x2

=====

--- C ---
Compound: TlOs2Rh
Source: Alexandria
Functional: PBE-GGA
Structure: relaxed

Properties
* crystal system: monoclinic
* total moment: 0.00 μB/atom
* density of states at the Fermi level: 9.75 states/eV per cell
* calculated density: 17.55 g/cm³

Lattice parameters (Å, degrees): 9.1693 2.8576 5.0364 90.00 99.46 90.00
Space group Cm (No. 8)
Symmetry-distinct sites (fractional):
1 Tl 0.0000 0.0000 0.0000 x2
2 Os 0.0002 0.5000 0.5087 x2
3 Os 0.2393 0.0000 0.6794 x2
4 Rh 0.2559 0.5000 0.2345 x2

=====

C ends up most stable, edging out the next structure by 0.096 eV/atom.

=====

--- A ---
Compound: TlOs2Rh
Source: Alexandria
Functional: PBE-GGA
Structure: relaxed

Properties
* crystal system: orthorhombic
* total moment: 0.26 μB/atom
* density of states at the Fermi level: 6.01 states/eV per cell
* calculated density: 17.51 g/cm³

Lattice parameters (Å, degrees): 2.8860 4.6568 4.8541 90.00 90.00 90.00
Space group Pmmm (No. 47)
Symmetry-distinct sites (fractional):
1 Tl 0.0000 0.0000 0.0000 x1
2 Os 0.0000 0.5000 0.5000 x1
3 Os 0.5000 0.0000 0.5000 x1
4 Rh 0.5000 0.5000 0.0000 x1

=====

--- B ---
Compound: TlOs2Rh
Source: Alexandria
Functional: PBE-GGA
Structure: relaxed

Properties
* crystal system: orthorhombic
* total moment: 0.00 μB/atom
* density of states at the Fermi level: 3.90 states/eV per cell
* calculated density: 17.41 g/cm³

Lattice parameters (Å, degrees): 2.8472 3.7779 6.0985 90.00 90.00 90.00
Space group Pmm2 (No. 25)
Symmetry-distinct sites (fractional):
1 Tl 0.0000 0.0000 0.0000 x1
2 Os 0.0000 0.0000 0.5072 x1
3 Os 0.5000 0.5000 0.6950 x1
4 Rh 0.5000 0.5000 0.2572 x1

=====

B ends up most stable, edging out the next structure by 0.321 eV/atom.

=====

--- A ---
Compound: TlOsRh
Source: Alexandria
Functional: PBE-GGA
Structure: relaxed

Properties
* crystal system: orthorhombic
* total moment: 0.00 μB/atom
* density of states at the Fermi level: 16.81 states/eV per cell
* calculated density: 15.86 g/cm³

Lattice parameters (Å, degrees): 2.8792 5.0523 14.3272 90.00 90.00 90.00
Space group Fmm2 (No. 42)
Symmetry-distinct sites (fractional):
1 Tl 0.0000 0.0000 0.0000 x4
2 Os 0.0000 0.0000 0.6775 x4
3 Rh 0.0000 0.0000 0.3290 x4

=====

--- B ---
Compound: TlOsRh
Source: Alexandria
Functional: PBE-GGA
Structure: relaxed

Properties
* crystal system: tetragonal
* total moment: 0.00 μB/atom
* density of states at the Fermi level: 2.46 states/eV per cell
* calculated density: 16.08 g/cm³

Lattice parameters (Å, degrees): 2.9169 2.9169 12.0754 90.00 90.00 90.00
Space group I4mm (No. 107)
Symmetry-distinct sites (fractional):
1 Tl 0.0000 0.0000 0.0000 x2
2 Os 0.0000 0.0000 0.3165 x2
3 Rh 0.0000 0.0000 0.6832 x2

=====

--- C ---
Compound: TlOsRh
Source: Alexandria
Functional: PBE-GGA
Structure: relaxed

Properties
* crystal system: trigonal
* total moment: 0.00 μB/atom
* density of states at the Fermi level: 2.27 states/eV per cell
* calculated density: 16.11 g/cm³

Lattice parameters (Å, degrees): 2.9352 2.9352 6.8750 90.00 90.00 120.00
Space group P3m1 (No. 156)
Symmetry-distinct sites (fractional):
1 Tl 0.0000 0.0000 0.0000 x1
2 Os 0.6667 0.3333 0.3618 x1
3 Rh 0.3333 0.6667 0.6512 x1

=====

--- D ---
Compound: TlOsRh
Source: Alexandria
Functional: PBE-GGA
Structure: relaxed

Properties
* crystal system: cubic
* total moment: 0.00 μB/atom
* density of states at the Fermi level: 15.75 states/eV per cell
* calculated density: 14.16 g/cm³

Lattice parameters (Å, degrees): 6.1565 6.1565 6.1565 90.00 90.00 90.00
Space group F-43m (No. 216)
Symmetry-distinct sites (fractional):
1 Tl 0.0000 0.0000 0.0000 x4
2 Os 0.0000 0.0000 0.5000 x4
3 Rh 0.2500 0.2500 0.7500 x4

=====

B ends up most stable, edging out the next structure by 0.089 eV/atom.